[1]
Density functional theory data (PBE) for crystalline CsI2Cl6 at its relaxed geometry.

Output
- raw formation energy (meV/atom) = -565
- ΔE to the lowest computed polymorph (meV per atom) = 0
- VASP energy (Ry per atom) = -0.1643

Cell lengths 10.522, 10.522, 8.692 Å; angles 112.35, 112.35, 96.14 degrees
Fractional coordinates of all 18 atoms:
Cs  0.177  0.823  0.750
Cs  0.823  0.177  0.250
I  0.275  0.386  0.829
I  0.386  0.275  0.329
I  0.614  0.725  0.671
I  0.725  0.614  0.171
Cl  0.062  0.478  0.743
Cl  0.097  0.118  0.608
Cl  0.118  0.097  0.108
Cl  0.308  0.500  0.422
Cl  0.478  0.062  0.243
Cl  0.500  0.308  0.922
Cl  0.500  0.692  0.078
Cl  0.522  0.938  0.757
Cl  0.692  0.500  0.578
Cl  0.882  0.903  0.892
Cl  0.903  0.882  0.392
Cl  0.938  0.522  0.257


[2]
Density functional theory data (PBE) for crystalline CsI2Cl at its relaxed geometry.

Output
- raw formation energy (meV/atom) = -408
- VASP energy (Ry per atom) = -0.1366

Cell lengths 6.271, 6.271, 6.271 Å; angles 60.00, 60.00, 60.00 degrees
Fractional coordinates of all 4 atoms:
Cs  0.000  0.000  0.000
I  0.250  0.250  0.250
I  0.750  0.750  0.750
Cl  0.500  0.500  0.500


[3]
Density functional theory data (PBE) for crystalline CsICl6 at its relaxed geometry.

Output
- raw formation energy (meV/atom) = -636
- VASP energy (Ry per atom) = -0.1706

Cell lengths 6.783, 6.783, 6.783 Å; angles 101.46, 101.46, 101.46 degrees
Fractional coordinates of all 8 atoms:
Cs  0.000  0.000  0.000
I  0.500  0.500  0.500
Cl  0.227  0.227  0.561
Cl  0.227  0.561  0.227
Cl  0.439  0.773  0.773
Cl  0.561  0.227  0.227
Cl  0.773  0.439  0.773
Cl  0.773  0.773  0.439


[4]
Density functional theory data (PBE) for crystalline Cs3ICl6 at its relaxed geometry.

Output
- raw formation energy (meV/atom) = -1193
- ΔE to the lowest computed polymorph (meV per atom) = 95
- VASP energy (Ry per atom) = -0.1993

Cell lengths 9.107, 9.107, 9.107 Å; angles 127.17, 127.17, 77.98 degrees
Fractional coordinates of all 10 atoms:
Cs  0.000  0.000  0.000
Cs  0.250  0.750  0.500
Cs  0.750  0.250  0.500
I  0.500  0.500  0.000
Cl  0.234  0.234  0.000
Cl  0.281  0.281  0.563
Cl  0.281  0.719  0.000
Cl  0.719  0.281  0.000
Cl  0.719  0.719  0.437
Cl  0.766  0.766  0.000


[5]
Density functional theory data (PBE) for crystalline CsInICl2 at its relaxed geometry.

Output
- raw formation energy (meV/atom) = -1232
- VASP energy (Ry per atom) = -0.2204

Cell lengths 5.579, 5.579, 6.040 Å; angles 90.00, 90.00, 90.00 degrees
Fractional coordinates of all 5 atoms:
Cs  0.000  0.000  0.000
In  0.500  0.500  0.500
I  0.500  0.500  0.000
Cl  0.000  0.500  0.500
Cl  0.500  0.000  0.500


[6]
Density functional theory data (PBE) for crystalline Cs2InI6Cl at its relaxed geometry.

Output
- raw formation energy (meV/atom) = -785
- VASP energy (Ry per atom) = -0.1723

Cell lengths 8.709, 8.709, 8.709 Å; angles 116.90, 116.90, 95.45 degrees
Fractional coordinates of all 10 atoms:
Cs  0.250  0.750  0.500
Cs  0.750  0.250  0.500
In  0.000  0.000  0.000
I  0.222  0.222  0.445
I  0.222  0.778  0.000
I  0.275  0.275  0.000
I  0.725  0.725  0.000
I  0.778  0.222  0.000
I  0.778  0.778  0.555
Cl  0.500  0.500  0.000


[7]
Density functional theory data (PBE) for crystalline Cs3In2I2Cl3 at its relaxed geometry.

Output
- raw formation energy (meV/atom) = -1239
- VASP energy (Ry per atom) = -0.2137

Cell lengths 18.218, 18.218, 18.218 Å; angles 162.89, 162.89, 24.29 degrees
Fractional coordinates of all 10 atoms:
Cs  0.000  0.000  0.000
Cs  0.404  0.404  0.000
Cs  0.596  0.596  0.000
In  0.198  0.198  0.000
In  0.802  0.802  0.000
I  0.250  0.750  0.500
I  0.750  0.250  0.500
Cl  0.095  0.095  0.000
Cl  0.500  0.500  0.000
Cl  0.905  0.905  0.000


[8]
Density functional theory data (PBE) for crystalline CsInI2Cl at its relaxed geometry.

Output
- raw formation energy (meV/atom) = -1074
- VASP energy (Ry per atom) = -0.2045

Cell lengths 6.162, 6.162, 5.539 Å; angles 90.00, 90.00, 90.00 degrees
Fractional coordinates of all 5 atoms:
Cs  0.000  0.000  0.000
In  0.500  0.500  0.500
I  0.000  0.500  0.500
I  0.500  0.000  0.500
Cl  0.500  0.500  0.000


[9]
Density functional theory data (PBE) for crystalline Cs2InICl6 at its relaxed geometry.

Output
- raw formation energy (meV/atom) = -1245
- VASP energy (Ry per atom) = -0.2170

Cell lengths 8.044, 8.044, 8.044 Å; angles 116.07, 116.07, 96.95 degrees
Fractional coordinates of all 10 atoms:
Cs  0.250  0.750  0.500
Cs  0.750  0.250  0.500
In  0.000  0.000  0.000
I  0.500  0.500  0.000
Cl  0.206  0.206  0.412
Cl  0.206  0.794  0.000
Cl  0.260  0.260  0.000
Cl  0.740  0.740  0.000
Cl  0.794  0.206  0.000
Cl  0.794  0.794  0.588


[10]
Density functional theory data (PBE) for crystalline CsIn2I2Cl at its relaxed geometry.

Output
- raw formation energy (meV/atom) = -895
- VASP energy (Ry per atom) = -0.2039

Cell lengths 8.027, 7.155, 9.614 Å; angles 90.00, 91.83, 90.00 degrees
Fractional coordinates of all 12 atoms:
Cs  0.234  0.250  0.080
Cs  0.766  0.750  0.920
In  0.195  0.512  0.597
In  0.195  0.988  0.597
In  0.805  0.012  0.403
In  0.805  0.488  0.403
I  0.276  0.750  0.881
I  0.488  0.750  0.352
I  0.512  0.250  0.648
I  0.724  0.250  0.119
Cl  0.024  0.250  0.767
Cl  0.976  0.750  0.233


[11]
Density functional theory data (PBE) for crystalline Cs2InI2Cl2 at its relaxed geometry.

Output
- raw formation energy (meV/atom) = -1348
- VASP energy (Ry per atom) = -0.2171

Cell lengths 10.423, 10.423, 10.423 Å; angles 148.98, 148.98, 44.44 degrees
Fractional coordinates of all 7 atoms:
Cs  0.130  0.130  0.000
Cs  0.870  0.870  0.000
In  0.500  0.500  0.000
I  0.338  0.338  0.000
I  0.662  0.662  0.000
Cl  0.000  0.500  0.500
Cl  0.500  0.000  0.500


[12]
Density functional theory data (PBE) for crystalline Cs2IrI6Cl at its relaxed geometry.

Output
- raw formation energy (meV/atom) = -620
- VASP energy (Ry per atom) = -0.2051

Cell lengths 8.360, 8.360, 8.360 Å; angles 116.68, 116.68, 95.85 degrees
Fractional coordinates of all 10 atoms:
Cs  0.250  0.750  0.500
Cs  0.750  0.250  0.500
Ir  0.000  0.000  0.000
I  0.215  0.215  0.431
I  0.215  0.785  0.000
I  0.250  0.250  0.000
I  0.750  0.750  0.000
I  0.785  0.215  0.000
I  0.785  0.785  0.569
Cl  0.500  0.500  0.000


[13]
Density functional theory data (PBE) for crystalline Cs3K2I3Cl2 at its relaxed geometry.

Output
- raw formation energy (meV/atom) = -1658
- VASP energy (Ry per atom) = -0.2181

Cell lengths 16.933, 16.933, 16.933 Å; angles 160.60, 160.60, 27.57 degrees
Fractional coordinates of all 10 atoms:
Cs  0.000  0.000  0.000
Cs  0.385  0.385  0.000
Cs  0.615  0.615  0.000
K  0.250  0.750  0.500
K  0.750  0.250  0.500
I  0.123  0.123  0.000
I  0.500  0.500  0.000
I  0.877  0.877  0.000
Cl  0.280  0.280  0.000
Cl  0.720  0.720  0.000


[14]
Density functional theory data (PBE) for crystalline CsKICl6 at its relaxed geometry.

Output
- raw formation energy (meV/atom) = -916
- VASP energy (Ry per atom) = -0.1864

Cell lengths 7.460, 7.460, 7.533 Å; angles 90.85, 90.85, 113.77 degrees
Fractional coordinates of all 9 atoms:
Cs  0.000  0.000  0.000
K  0.306  0.694  0.500
I  0.666  0.334  0.500
Cl  0.382  0.336  0.317
Cl  0.401  0.040  0.758
Cl  0.659  0.046  0.318
Cl  0.664  0.618  0.683
Cl  0.954  0.341  0.682
Cl  0.960  0.599  0.242


[15]
Density functional theory data (PBE) for crystalline Cs2K4I3Cl2 at its relaxed geometry.

Output
- raw formation energy (meV/atom) = -1455
- VASP energy (Ry per atom) = -0.2035

Cell lengths 15.562, 15.562, 15.562 Å; angles 157.58, 157.58, 31.92 degrees
Fractional coordinates of all 11 atoms:
Cs  0.204  0.204  0.000
Cs  0.796  0.796  0.000
K  0.079  0.579  0.500
K  0.421  0.921  0.500
K  0.579  0.079  0.500
K  0.921  0.421  0.500
I  0.347  0.347  0.000
I  0.500  0.500  0.000
I  0.653  0.653  0.000
Cl  0.088  0.088  0.000
Cl  0.912  0.912  0.000


[16]
Density functional theory data (PBE) for crystalline Cs2KI6Cl at its relaxed geometry.

Output
- raw formation energy (meV/atom) = -686
- VASP energy (Ry per atom) = -0.1530

Cell lengths 9.391, 9.391, 9.391 Å; angles 125.40, 125.40, 80.88 degrees
Fractional coordinates of all 10 atoms:
Cs  0.250  0.750  0.500
Cs  0.750  0.250  0.500
K  0.000  0.000  0.000
I  0.231  0.231  0.000
I  0.278  0.278  0.556
I  0.278  0.722  0.000
I  0.722  0.278  0.000
I  0.722  0.722  0.444
I  0.769  0.769  0.000
Cl  0.500  0.500  0.000


[17]
Density functional theory data (PBE) for crystalline Cs2KICl6 at its relaxed geometry.

Output
- raw formation energy (meV/atom) = -1141
- VASP energy (Ry per atom) = -0.1973

Cell lengths 8.133, 8.133, 8.133 Å; angles 117.32, 117.32, 94.71 degrees
Fractional coordinates of all 10 atoms:
Cs  0.250  0.750  0.500
Cs  0.750  0.250  0.500
K  0.000  0.000  0.000
I  0.500  0.500  0.000
Cl  0.251  0.251  0.502
Cl  0.251  0.749  0.000
Cl  0.274  0.274  0.000
Cl  0.726  0.726  0.000
Cl  0.749  0.251  0.000
Cl  0.749  0.749  0.498


[18]
Density functional theory data (PBE) for crystalline Cs2KICl4 at its relaxed geometry.

Output
- raw formation energy (meV/atom) = -1473
- VASP energy (Ry per atom) = -0.2161

Cell lengths 10.082, 10.082, 9.353 Å; angles 112.93, 112.93, 103.73 degrees
Fractional coordinates of all 16 atoms:
Cs  0.000  0.000  0.000
Cs  0.000  0.000  0.500
Cs  0.000  0.500  0.000
Cs  0.500  0.000  0.500
K  0.500  0.500  0.000
K  0.500  0.500  0.500
I  0.000  0.500  0.500
I  0.500  0.000  0.000
Cl  0.214  0.293  0.980
Cl  0.224  0.642  0.463
Cl  0.293  0.214  0.480
Cl  0.358  0.776  0.037
Cl  0.642  0.224  0.963
Cl  0.707  0.786  0.520
Cl  0.776  0.358  0.537
Cl  0.786  0.707  0.020


[19]
Density functional theory data (PBE) for crystalline Cs2LaI6Cl at its relaxed geometry.

Output
- raw formation energy (meV/atom) = -1147
- VASP energy (Ry per atom) = -0.2150

Cell lengths 8.976, 8.976, 8.976 Å; angles 114.74, 114.74, 99.37 degrees
Fractional coordinates of all 10 atoms:
Cs  0.250  0.750  0.500
Cs  0.750  0.250  0.500
La  0.000  0.000  0.000
I  0.228  0.228  0.456
I  0.228  0.772  0.000
I  0.277  0.277  0.000
I  0.723  0.723  0.000
I  0.772  0.228  0.000
I  0.772  0.772  0.544
Cl  0.500  0.500  0.000


[20]
Density functional theory data (PBE) for crystalline CsLaICl2 at its relaxed geometry.

Output
- raw formation energy (meV/atom) = -1770
- VASP energy (Ry per atom) = -0.2921

Cell lengths 5.673, 5.673, 6.390 Å; angles 90.00, 90.00, 90.00 degrees
Fractional coordinates of all 5 atoms:
Cs  0.000  0.000  0.000
La  0.500  0.500  0.500
I  0.500  0.500  0.000
Cl  0.000  0.500  0.500
Cl  0.500  0.000  0.500


[21]
Density functional theory data (PBE) for crystalline CsLiICl6 at its relaxed geometry.

Output
- raw formation energy (meV/atom) = -886
- VASP energy (Ry per atom) = -0.1908

Cell lengths 6.675, 7.252, 7.310 Å; angles 96.85, 113.08, 92.99 degrees
Fractional coordinates of all 9 atoms:
Cs  0.000  0.000  0.000
Li  0.412  0.374  0.810
I  0.870  0.460  0.459
Cl  0.038  0.559  0.237
Cl  0.104  0.184  0.522
Cl  0.260  0.654  0.820
Cl  0.534  0.200  0.074
Cl  0.664  0.731  0.431
Cl  0.711  0.335  0.694


[22]
Density functional theory data (PBE) for crystalline Cs2LiICl6 at its relaxed geometry.

Output
- raw formation energy (meV/atom) = -1223
- VASP energy (Ry per atom) = -0.2093

Cell lengths 7.578, 7.593, 8.011 Å; angles 118.20, 118.14, 90.01 degrees
Fractional coordinates of all 10 atoms:
Cs  0.250  0.250  0.000
Cs  0.750  0.750  0.000
Li  0.000  0.500  0.500
I  0.500  0.000  0.500
Cl  0.192  0.692  0.884
Cl  0.264  0.235  0.500
Cl  0.264  0.764  0.499
Cl  0.736  0.236  0.501
Cl  0.736  0.765  0.500
Cl  0.808  0.308  0.116


[23]
Density functional theory data (PBE) for crystalline Cs2MgI2Cl2 at its relaxed geometry.

Output
- raw formation energy (meV/atom) = -1648
- VASP energy (Ry per atom) = -0.2271

Cell lengths 10.153, 10.153, 10.153 Å; angles 149.36, 149.36, 43.88 degrees
Fractional coordinates of all 7 atoms:
Cs  0.131  0.131  0.000
Cs  0.869  0.869  0.000
Mg  0.500  0.500  0.000
I  0.345  0.345  0.000
I  0.655  0.655  0.000
Cl  0.000  0.500  0.500
Cl  0.500  0.000  0.500